Run i
Density functional theory data (GGA-PBE) for crystalline Pd3SeN at its relaxed geometry.

## Properties
Its spin magnetization is 0.000 μB per atom.

Cell lengths 4.211, 4.211, 4.211 Å; angles 90.00, 90.00, 90.00 degrees
Fractional positions:
1 Pd 0.500 0.000 0.000
2 Pd 0.000 0.000 0.500
3 Pd 0.000 0.500 0.000
4 Se 0.500 0.500 0.500
5 N 0.000 0.000 0.000

---

Run ii
Density functional theory data (GGA-PBE) for crystalline Pd3SeN at its relaxed geometry.

## Properties
Its spin magnetization is 0.389 μB per atom.

Cell lengths 4.714, 4.714, 4.714 Å; angles 90.00, 90.00, 90.00 degrees
Fractional positions:
1 Pd 0.500 0.000 0.000
2 Pd 0.000 0.000 0.500
3 Pd 0.000 0.500 0.000
4 Se 0.000 0.000 0.000
5 N 0.500 0.500 0.500

---

Most favorable first, least favorable last: run i, run ii

---

Run i
Density functional theory data (GGA-PBE) for crystalline SiPdSe2N at its relaxed geometry.

## Properties
Its spin magnetization is 0.126 μB per atom.

Cell lengths 5.160, 5.160, 3.702 Å; angles 90.00, 90.00, 90.00 degrees
Fractional positions:
1 Se 0.500 0.000 0.000
2 Se 0.000 0.500 0.000
3 N 0.000 0.000 0.500
4 Si 0.500 0.500 0.500
5 Pd 0.000 0.000 0.000

---

Run ii
Density functional theory data (GGA-PBE) for crystalline SiPdSe2N at its relaxed geometry.

## Properties
Its spin magnetization is 0.000 μB per atom.

Cell lengths 5.114, 5.114, 3.211 Å; angles 90.00, 90.00, 90.00 degrees
Fractional positions:
1 Se 0.500 0.000 0.000
2 Se 0.000 0.500 0.000
3 N 0.000 0.000 0.500
4 Si 0.000 0.000 0.000
5 Pd 0.500 0.500 0.500

---

Most favorable first, least favorable last: run ii, run i

---

Run i
Density functional theory data (GGA-PBE) for crystalline SnPdSe2N at its relaxed geometry.

## Properties
Its spin magnetization is 0.126 μB per atom.

Cell lengths 5.263, 5.263, 3.758 Å; angles 90.00, 90.00, 90.00 degrees
Fractional positions:
1 N 0.000 0.000 0.500
2 Se 0.000 0.500 0.000
3 Se 0.500 0.000 0.000
4 Sn 0.500 0.500 0.500
5 Pd 0.000 0.000 0.000

---

Run ii
Density functional theory data (GGA-PBE) for crystalline SnPdSe2N at its relaxed geometry.

## Properties
Its spin magnetization is 0.000 μB per atom.

Cell lengths 5.351, 5.351, 3.904 Å; angles 90.00, 90.00, 90.00 degrees
Fractional positions:
1 Sn 0.000 0.000 0.000
2 Pd 0.500 0.500 0.500
3 Se 0.000 0.500 0.000
4 Se 0.500 0.000 0.000
5 N 0.000 0.000 0.500

---

Most favorable first, least favorable last: run i, run ii

---

Run i
Density functional theory data (GGA-PBE) for crystalline TaPdSeN2 at its relaxed geometry.

## Properties
Its spin magnetization is 0.000 μB per atom.

Cell lengths 3.957, 3.957, 4.782 Å; angles 90.00, 90.00, 90.00 degrees
Fractional positions:
1 Se 0.000 0.000 0.500
2 Ta 0.500 0.500 0.500
3 Pd 0.000 0.000 0.000
4 N 0.000 0.500 0.000
5 N 0.500 0.000 0.000

---

Run ii
Density functional theory data (GGA-PBE) for crystalline TaPdSeN2 at its relaxed geometry.

## Properties
Its spin magnetization is 0.000 μB per atom.

Cell lengths 3.951, 3.951, 5.496 Å; angles 90.00, 90.00, 90.00 degrees
Fractional positions:
1 N 0.500 0.000 0.000
2 N 0.000 0.500 0.000
3 Pd 0.500 0.500 0.500
4 Se 0.000 0.000 0.500
5 Ta 0.000 0.000 0.000

---

Most favorable first, least favorable last: run ii, run i

---

Run i
Density functional theory data (GGA-PBE) for crystalline TePdSe2N at its relaxed geometry.

## Properties
Its spin magnetization is 0.000 μB per atom.

Cell lengths 5.385, 5.385, 3.864 Å; angles 90.00, 90.00, 90.00 degrees
Fractional positions:
1 N 0.000 0.000 0.500
2 Se 0.000 0.500 0.000
3 Se 0.500 0.000 0.000
4 Te 0.000 0.000 0.000
5 Pd 0.500 0.500 0.500

---

Run ii
Density functional theory data (GGA-PBE) for crystalline TePdSe2N at its relaxed geometry.

## Properties
Its spin magnetization is 0.083 μB per atom.

Cell lengths 5.216, 5.216, 3.754 Å; angles 90.00, 90.00, 90.00 degrees
Fractional positions:
1 Pd 0.000 0.000 0.000
2 Se 0.000 0.500 0.000
3 Se 0.500 0.000 0.000
4 Te 0.500 0.500 0.500
5 N 0.000 0.000 0.500

---

Most favorable first, least favorable last: run ii, run i

---

Run i
Density functional theory data (GGA-PBE) for crystalline PdWSeN2 at its relaxed geometry.

## Properties
Its spin magnetization is 0.016 μB per atom.

Cell lengths 3.897, 3.897, 4.917 Å; angles 90.00, 90.00, 90.00 degrees
Fractional positions:
1 Se 0.000 0.000 0.500
2 W 0.500 0.500 0.500
3 Pd 0.000 0.000 0.000
4 N 0.500 0.000 0.000
5 N 0.000 0.500 0.000

---

Run ii
Density functional theory data (GGA-PBE) for crystalline PdWSeN2 at its relaxed geometry.

## Properties
Its spin magnetization is 0.058 μB per atom.

Cell lengths 3.867, 3.867, 5.400 Å; angles 90.00, 90.00, 90.00 degrees
Fractional positions:
1 Pd 0.500 0.500 0.500
2 N 0.000 0.500 0.000
3 N 0.500 0.000 0.000
4 W 0.000 0.000 0.000
5 Se 0.000 0.000 0.500

---

Most favorable first, least favorable last: run ii, run i

---

Run i
Density functional theory data (GGA-PBE) for crystalline YPdSeN2 at its relaxed geometry.

## Properties
Its spin magnetization is 0.403 μB per atom.

Cell lengths 4.087, 4.960, 4.087 Å; angles 90.00, 90.00, 90.00 degrees
Fractional positions:
1 Se 0.000 0.500 0.000
2 N 0.000 0.000 0.500
3 N 0.500 0.000 0.000
4 Y 0.500 0.500 0.500
5 Pd 0.000 0.000 0.000

---

Run ii
Density functional theory data (GGA-PBE) for crystalline YPdSeN2 at its relaxed geometry.

## Properties
Its spin magnetization is 0.798 μB per atom.

Cell lengths 4.373, 4.373, 5.729 Å; angles 90.00, 90.00, 90.00 degrees
Fractional positions:
1 N 0.000 0.500 0.000
2 N 0.500 0.000 0.000
3 Y 0.000 0.000 0.000
4 Pd 0.500 0.500 0.500
5 Se 0.000 0.000 0.500

---

Most favorable first, least favorable last: run i, run ii

---

Run i
Density functional theory data (GGA-PBE) for crystalline ZnPdSeN2 at its relaxed geometry.

## Properties
Its spin magnetization is 0.706 μB per atom.

Cell lengths 3.812, 3.812, 5.684 Å; angles 90.00, 90.00, 90.00 degrees
Fractional positions:
1 Pd 0.500 0.500 0.500
2 Se 0.000 0.000 0.500
3 Zn 0.000 0.000 0.000
4 N 0.500 0.000 0.000
5 N 0.000 0.500 0.000

---

Run ii
Density functional theory data (GGA-PBE) for crystalline ZnPdSeN2 at its relaxed geometry.

## Properties
Its spin magnetization is 0.000 μB per atom.

Cell lengths 3.814, 3.814, 5.980 Å; angles 90.00, 90.00, 90.00 degrees
Fractional positions:
1 Pd 0.000 0.000 0.000
2 N 0.000 0.500 0.000
3 N 0.500 0.000 0.000
4 Se 0.000 0.000 0.500
5 Zn 0.500 0.500 0.500

---

Most favorable first, least favorable last: run ii, run i

---

Run i
Density functional theory data (GGA-PBE) for crystalline ZrPdSeN2 at its relaxed geometry.

## Properties
Its spin magnetization is 0.000 μB per atom.

Cell lengths 4.018, 4.018, 4.783 Å; angles 90.00, 90.00, 90.00 degrees
Fractional positions:
1 Pd 0.000 0.000 0.000
2 N 0.000 0.500 0.000
3 N 0.500 0.000 0.000
4 Zr 0.500 0.500 0.500
5 Se 0.000 0.000 0.500

---

Run ii
Density functional theory data (GGA-PBE) for crystalline ZrPdSeN2 at its relaxed geometry.

## Properties
Its spin magnetization is 0.150 μB per atom.

Cell lengths 4.092, 4.092, 5.651 Å; angles 90.00, 90.00, 90.00 degrees
Fractional positions:
1 Se 0.000 0.000 0.500
2 Pd 0.500 0.500 0.500
3 Zr 0.000 0.000 0.000
4 N 0.500 0.000 0.000
5 N 0.000 0.500 0.000

---

Most favorable first, least favorable last: run ii, run i

---

Run i
Density functional theory data (GGA-PBE) for crystalline Si3PdN at its relaxed geometry.

## Properties
Its spin magnetization is 0.000 μB per atom.

Cell lengths 4.592, 4.592, 4.592 Å; angles 90.00, 90.00, 90.00 degrees
Fractional positions:
1 Pd 0.000 0.000 0.000
2 Si 0.000 0.500 0.000
3 Si 0.500 0.000 0.000
4 Si 0.000 0.000 0.500
5 N 0.500 0.500 0.500

---

Run ii
Density functional theory data (GGA-PBE) for crystalline Si3PdN at its relaxed geometry.

## Properties
Its spin magnetization is 0.000 μB per atom.

Cell lengths 4.009, 4.009, 4.009 Å; angles 90.00, 90.00, 90.00 degrees
Fractional positions:
1 N 0.000 0.000 0.000
2 Si 0.000 0.000 0.500
3 Si 0.000 0.500 0.000
4 Si 0.500 0.000 0.000
5 Pd 0.500 0.500 0.500

---

Most favorable first, least favorable last: run ii, run i

---

Run i
Density functional theory data (GGA-PBE) for crystalline SiTePdN2 at its relaxed geometry.

## Properties
Its spin magnetization is 0.578 μB per atom.

Cell lengths 4.013, 4.013, 5.721 Å; angles 90.00, 90.00, 90.00 degrees
Fractional positions:
1 Pd 0.000 0.000 0.000
2 N 0.000 0.500 0.000
3 N 0.500 0.000 0.000
4 Si 0.500 0.500 0.500
5 Te 0.000 0.000 0.500

---

Run ii
Density functional theory data (GGA-PBE) for crystalline SiTePdN2 at its relaxed geometry.

## Properties
Its spin magnetization is 0.000 μB per atom.

Cell lengths 3.564, 3.564, 7.180 Å; angles 90.00, 90.00, 90.00 degrees
Fractional positions:
1 Te 0.000 0.000 0.500
2 Si 0.000 0.000 0.000
3 N 0.000 0.500 0.000
4 N 0.500 0.000 0.000
5 Pd 0.500 0.500 0.500

---

Most favorable first, least favorable last: run ii, run i

---

Run i
Density functional theory data (GGA-PBE) for crystalline SiTe2PdN at its relaxed geometry.

## Properties
Its spin magnetization is 0.000 μB per atom.

Cell lengths 5.510, 5.510, 3.238 Å; angles 90.00, 90.00, 90.00 degrees
Fractional positions:
1 Si 0.000 0.000 0.000
2 Pd 0.500 0.500 0.500
3 N 0.000 0.000 0.500
4 Te 0.500 0.000 0.000
5 Te 0.000 0.500 0.000

---

Run ii
Density functional theory data (GGA-PBE) for crystalline SiTe2PdN at its relaxed geometry.

## Properties
Its spin magnetization is 0.000 μB per atom.

Cell lengths 5.521, 5.521, 3.700 Å; angles 90.00, 90.00, 90.00 degrees
Fractional positions:
1 Si 0.500 0.500 0.500
2 N 0.000 0.000 0.500
3 Pd 0.000 0.000 0.000
4 Te 0.000 0.500 0.000
5 Te 0.500 0.000 0.000

---

Most favorable first, least favorable last: run i, run ii

---

Run i
Density functional theory data (GGA-PBE) for crystalline Sm2PdN at its relaxed geometry.

## Properties
Its spin magnetization is 0.000 μB per atom.

Cell lengths 3.464, 3.464, 8.482 Å; angles 78.22, 78.22, 60.00 degrees
Fractional positions:
1 Sm 0.110 0.110 0.670
2 Sm 0.890 0.890 0.330
3 Pd 0.000 0.000 0.000
4 N 0.500 0.500 0.500

---

Run ii
Density functional theory data (GGA-PBE) for crystalline Sm2PdN at its relaxed geometry.

## Properties
Its spin magnetization is 0.000 μB per atom.

Cell lengths 3.251, 3.251, 6.949 Å; angles 90.00, 90.00, 90.00 degrees
Fractional positions:
1 Sm 0.000 0.000 0.789
2 Sm 0.000 0.000 0.211
3 Pd 0.500 0.500 0.500
4 N 0.500 0.500 0.000

---

Most favorable first, least favorable last: run i, run ii